# CsMgNb2As

A relaxed structure of CsMgNb2As (GGA-PBE, Alexandria).

```
data_CsMgNb2As
_space_group_name_H-M_alt 'P 4/m m m'
_space_group_IT_number 123
_space_group_name_Hall '-P 4 2'
_cell_length_a 4.936
_cell_length_b 4.936
_cell_length_c 6.311
_cell_angle_alpha 90.00
_cell_angle_beta 90.00
_cell_angle_gamma 90.00
loop_
_atom_site_label
_atom_site_fract_x
_atom_site_fract_y
_atom_site_fract_z
_atom_site_occupancy
Cs1 0.000 0.000 0.000 1
Mg1 0.500 0.500 0.000 1
Nb1 0.000 0.500 0.500 1
As1 0.000 0.000 0.500 1
```

Total magnetization, μB/f.u.: 2.170
Energy relative to the elements, eV per formula unit: 5.0